[1]
Material: Pm6Co2AsBr3
Method: DFT, GGA-PBE
State: optimized geometry

a = 4.065 Å, b = 9.041 Å, c = 9.715 Å
α = 108.61°, β = 102.08°, γ = 90.00°
Element x y z (fractional)
Pm: 0.335 0.865 0.670
Pm: 0.681 0.558 0.361
Pm: 0.665 0.135 0.330
Pm: 0.024 0.243 0.049
Pm: 0.976 0.757 0.951
Pm: 0.319 0.442 0.639
Co: 0.830 0.659 0.660
Co: 0.170 0.341 0.340
As: 0.500 0.000 0.000
Br: 0.500 0.500 0.000
Br: 0.840 0.160 0.681
Br: 0.160 0.840 0.319

Summary:
The calculation puts the uncorrected energy at -5.31 eV/atom. For the formation energy (no corrections), the calculation gives -0.948 eV/atom. As for the crystal system: monoclinic.



[2]
Material: K2DyPuO4
Method: DFT, GGA-PBE
State: optimized geometry

a = 3.535 Å, b = 6.127 Å, c = 6.588 Å
α = 108.07°, β = 90.00°, γ = 90.00°
Element x y z (fractional)
K: 0.500 0.000 0.500
K: 0.000 0.500 0.500
Dy: 0.500 0.500 0.000
Pu: 0.000 0.000 0.000
O: 0.500 0.233 0.186
O: 0.500 0.767 0.814
O: 0.000 0.277 0.813
O: 0.000 0.723 0.187

Summary:
The calculation puts the uncorrected energy at -7.68 eV/atom. For the formation energy (no corrections), the calculation gives -2.556 eV/atom. As for the crystal system: monoclinic.



[3]
Material: KMgPCl2
Method: DFT, GGA-PBE
State: optimized geometry

a = 5.185 Å, b = 5.185 Å, c = 5.137 Å
α = 90.00°, β = 90.00°, γ = 90.00°
Element x y z (fractional)
P: 0.000 0.000 0.500
K: 0.500 0.500 0.500
Mg: 0.000 0.000 0.000
Cl: 0.000 0.500 0.000
Cl: 0.500 0.000 0.000

Summary:
The calculation puts the uncorrected energy at -3.29 eV/atom. For the energy above the most stable polymorph in this dataset, the calculation gives 0.000 eV/atom. For the formation energy (no corrections), the calculation gives -0.928 eV/atom. As for the crystal system: tetragonal.



[4]
Material: Sc2SnAs2
Method: DFT, GGA-PBE
State: optimized geometry

a = 3.777 Å, b = 3.777 Å, c = 8.065 Å
α = 76.46°, β = 76.46°, γ = 90.00°
Element x y z (fractional)
Sc: 0.387 0.387 0.226
Sc: 0.613 0.613 0.774
As: 0.750 0.250 0.500
As: 0.250 0.750 0.500
Sn: 0.000 0.000 0.000

Summary:
The energy relative to the elements is -330.6 kJ/mol of formula units. The calculation puts the uncorrected energy at -5.88 eV/atom. For the energy above the most stable polymorph in this dataset, the calculation gives 0.090 eV/atom. As for the crystal system: tetragonal.



[5]
Material: LaDyMg2
Method: DFT, GGA-PBE
State: optimized geometry

a = 3.898 Å, b = 5.457 Å, c = 5.457 Å
α = 90.00°, β = 90.00°, γ = 90.00°
Element x y z (fractional)
Mg: 0.000 0.000 0.500
Mg: 0.000 0.500 0.000
La: 0.500 0.000 0.000
Dy: 0.500 0.500 0.500

Summary:
The energy relative to the elements is -35.1 kJ/mol of formula units. The calculation puts the uncorrected energy at -3.27 eV/atom. For the energy above the most stable polymorph in this dataset, the calculation gives 0.010 eV/atom. As for the crystal system: tetragonal.



[6]
Material: AcLa2DyS4
Method: DFT, GGA-PBE
State: optimized geometry

a = 4.105 Å, b = 7.218 Å, c = 7.160 Å
α = 109.08°, β = 90.00°, γ = 90.00°
Element x y z (fractional)
Ac: 0.000 0.000 0.000
La: 0.500 0.000 0.500
La: 0.000 0.500 0.500
Dy: 0.500 0.500 0.000
S: 0.500 0.265 0.249
S: 0.500 0.735 0.751
S: 0.000 0.269 0.762
S: 0.000 0.731 0.238

Summary:
The calculation puts the uncorrected energy at -6.44 eV/atom. For the formation energy (no corrections), the calculation gives -2.058 eV/atom. As for the crystal system: monoclinic.



uncorrected energy of number 3 (KMgPCl2)? -3.29 eV/atom



Among the records above, which one has the highest uncorrected energy? LaDyMg2



The highest uncorrected energy belongs to which entry? LaDyMg2



uncorrected energy of number 1 (Pm6Co2AsBr3)? -5.31 eV/atom